No. 1
# PBE MgCu2Tc, relaxed
# Space group: C2/m (12)
# D(E_F) in states/eV/f.u.: 3.460
# Energy relative to the elements in eV per atom: 0.23
# Calculated total energy in Ry/atom: -0.3535
data_MgCu2Tc
_cell_length_a 4.675
_cell_length_b 4.675
_cell_length_c 4.950
_cell_angle_alpha 82.57
_cell_angle_beta 82.57
_cell_angle_gamma 32.29
_symmetry_space_group_name_H-M 'P 1'
_symmetry_Int_Tables_number 1
_symmetry_space_group_name_Hall 'P 1'
loop_
_atom_site_label
_atom_site_type_symbol
_atom_site_fract_x
_atom_site_fract_y
_atom_site_fract_z
Cu1 Cu 0.997 0.997 0.019
Cu2 Cu 0.503 0.503 0.481
Mg1 Mg 0.750 0.750 0.750
Tc1 Tc 0.250 0.250 0.250

---

No. 2
# PBE LaPa2PN5, relaxed
# Space group: P4/mbm (127)
# D(E_F) in states/eV/f.u.: 3.213
# Energy relative to the elements, uncorrected in eV per atom: -1.1689
# Calculated total energy in Ry/atom: -0.6654
data_LaPa2PN5
_cell_length_a 5.458
_cell_length_b 6.635
_cell_length_c 6.635
_cell_angle_alpha 90.00
_cell_angle_beta 90.00
_cell_angle_gamma 90.00
_symmetry_space_group_name_H-M 'P 1'
_symmetry_Int_Tables_number 1
_symmetry_space_group_name_Hall 'P 1'
loop_
_atom_site_label
_atom_site_type_symbol
_atom_site_fract_x
_atom_site_fract_y
_atom_site_fract_z
La1 La 0.000 0.500 0.500
La2 La 0.000 0.000 0.000
Pa1 Pa 0.500 0.677 0.177
Pa2 Pa 0.500 0.177 0.323
Pa3 Pa 0.500 0.823 0.677
Pa4 Pa 0.500 0.323 0.823
P1 P 0.000 0.000 0.500
P2 P 0.000 0.500 0.000
N1 N 0.500 0.500 0.500
N2 N 0.500 0.000 0.000
N3 N 0.238 0.137 0.637
N4 N 0.238 0.863 0.363
N5 N 0.238 0.363 0.137
N6 N 0.238 0.637 0.863
N7 N 0.762 0.137 0.637
N8 N 0.762 0.637 0.863
N9 N 0.762 0.863 0.363
N10 N 0.762 0.363 0.137

---

No. 3
# PBE CdRhPb3, relaxed
# Space group: Pm-3m (221)
# D(E_F) in states/eV/f.u.: 2.215
# Energy relative to the elements in eV per atom: 0.13
# Calculated total energy in Ry/atom: -0.2756
data_CdRhPb3
_cell_length_a 5.326
_cell_length_b 5.326
_cell_length_c 5.326
_cell_angle_alpha 90.00
_cell_angle_beta 90.00
_cell_angle_gamma 90.00
_symmetry_space_group_name_H-M 'P 1'
_symmetry_Int_Tables_number 1
_symmetry_space_group_name_Hall 'P 1'
loop_
_atom_site_label
_atom_site_type_symbol
_atom_site_fract_x
_atom_site_fract_y
_atom_site_fract_z
Pb1 Pb 0.000 0.500 0.000
Pb2 Pb 0.000 0.000 0.500
Pb3 Pb 0.500 0.000 0.000
Rh1 Rh 0.000 0.000 0.000
Cd1 Cd 0.500 0.500 0.500

---

| no. | V (Å³/atom) |
| --- | --- |
| 1 | 14.32 |
| 2 | 13.35 |
| 3 | 30.22 |